No. 1
Sr3Zn2PtO6 | GGA-PBE | optimized geometry

Structure (POSCAR):
```
Sr3Zn2PtO6
1.0
5.780 0.000 0.000
-2.890 5.006 0.000
0.000 0.000 6.541
Sr Zn Pt O
3 2 1 6
direct
0.000 0.000 0.000
0.333 0.667 0.623
0.667 0.333 0.377
0.333 0.667 0.153
0.667 0.333 0.847
0.000 0.000 0.500
0.164 0.328 0.309
0.164 0.836 0.309
0.328 0.164 0.691
0.672 0.836 0.309
0.836 0.164 0.691
0.836 0.672 0.691
```

Values from the calculation:
Fermi-level density of states: 2.25 states/eV per cell
Uncorrected formation energy: -1.6074 eV per atom



No. 2
Pu2Ga5PdRh2 | GGA-PBE | optimized geometry

Structure (POSCAR):
```
Pu2Ga5PdRh2
1.0
10.936 0.000 0.000
0.000 10.936 0.000
0.000 0.000 2.960
Pu Ga Pd Rh
4 10 2 4
direct
0.180 0.320 0.000
0.320 0.820 0.000
0.680 0.180 0.000
0.820 0.680 0.000
0.000 0.500 0.500
0.052 0.807 0.500
0.193 0.052 0.500
0.307 0.552 0.500
0.448 0.307 0.500
0.500 0.000 0.500
0.552 0.693 0.500
0.693 0.448 0.500
0.807 0.948 0.500
0.948 0.193 0.500
0.000 0.000 0.000
0.500 0.500 0.000
0.132 0.632 0.000
0.368 0.132 0.000
0.632 0.868 0.000
0.868 0.368 0.000
```

Values from the calculation:
Fermi-level density of states: 31.28 states/eV per cell
Formation energy from the elements: -0.504 eV/atom